Here is a geometry-optimized Tb5DyHg4 structure from the Alexandria database. Energies are from PBE.

Values from the calculation:
As for the formation energy: -0.368 eV per atom. The calculation puts the density of states at the Fermi level at 12.4 states/eV/cell.

Cell: 3.692 3.692 20.123 Å, 90.00 90.00 90.00°
Element x y z (fractional)
Tb 0.000 0.000 0.000
Tb 0.000 0.000 0.188
Tb 0.000 0.000 0.378
Tb 0.000 0.000 0.622
Tb 0.000 0.000 0.812
Dy 0.500 0.500 0.500
Hg 0.500 0.500 0.095
Hg 0.500 0.500 0.286
Hg 0.500 0.500 0.714
Hg 0.500 0.500 0.905